# Na2Si2Se5

Crystalline Na2Si2Se5 at its relaxed geometry (GGA-PBE, the Alexandria database).

Unit cell a=5.1440 b=7.1768 c=7.0788 alpha=99.71 beta=90.00 gamma=111.00
Last column: nearest neighbours and their distance in Å.
Element x y z (fractional)
1 Si 0.8437 0.6873 0.1292  3 Se 2.21-2.43
2 Si 0.1563 0.3127 0.8708  3 Se 2.21-2.43
3 Se 0.0000 0.0000 0.0000  2 Si 2.43
4 Se 0.6793 0.3587 0.9475  1 Si 2.34
5 Se 0.8630 0.7259 0.4466  1 Si 2.21
6 Se 0.3207 0.6413 0.0525  1 Si 2.34
7 Se 0.1370 0.2741 0.5534  1 Si 2.21
8 Na 0.6302 0.2604 0.3528  4 Se 2.93-3.07
9 Na 0.3698 0.7396 0.6472  4 Se 2.93-3.07

* energy relative to the lowest polymorph listed for this composition: 282.3 meV per atom
* formation energy from raw total energies: -0.456 eV per atom

=====

# ErHgSb2

Crystalline ErHgSb2 at its relaxed geometry (GGA-PBE, the Alexandria database).

Unit cell a=4.1507 b=4.9593 c=4.9593 alpha=90.00 beta=90.00 gamma=90.00
Last column: nearest neighbours and their distance in Å.
Element x y z (fractional)
1 Hg 0.5000 0.5000 0.5000  8 Sb 3.23, 4 Er 3.51
2 Sb 0.0000 0.5000 0.0000  4 Hg 3.23, 4 Er 3.23, 4 Sb 3.51
3 Sb 0.0000 0.0000 0.5000  4 Hg 3.23, 4 Er 3.23, 4 Sb 3.51
4 Er 0.5000 0.0000 0.0000  8 Sb 3.23, 4 Hg 3.51

* energy relative to the lowest polymorph listed for this composition: 0.0 meV per atom
* formation energy from raw total energies: -0.400 eV per atom

=====

# La6SiAs2I3

Crystalline La6SiAs2I3 at its relaxed geometry (GGA-PBE, the Alexandria database).

Unit cell a=7.6427 b=7.6427 c=8.1932 alpha=98.94 beta=98.94 gamma=120.00
Last column: nearest neighbours and their distance in Å.
Element x y z (fractional)
1 As 0.6666 0.3334 0.0000  6 La 3.00
2 As 0.3334 0.6666 0.0000  6 La 3.00
3 La 0.7372 0.7372 0.1998  1 Si 2.96, 2 As 3.00
4 La 0.2628 0.2628 0.8002  1 Si 2.96, 2 As 3.00
5 La 0.0665 0.3959 0.1994  1 Si 2.96, 2 As 3.00
6 La 0.9335 0.6041 0.8006  1 Si 2.96, 2 As 3.00
7 La 0.6041 0.9335 0.8006  1 Si 2.96, 2 As 3.00
8 La 0.3959 0.0665 0.1994  1 Si 2.96, 2 As 3.00
9 Si 0.0000 0.0000 0.0000  6 La 2.96
10 I 0.5000 0.5000 0.5000  6 La 3.45-3.48
11 I 0.8330 0.1670 0.5000  6 La 3.45-3.48
12 I 0.1670 0.8330 0.5000  6 La 3.45-3.48

* formation energy from raw total energies: -1.289 eV per atom

=====

# Cd3Rh4

Crystalline Cd3Rh4 at its relaxed geometry (GGA-PBE, the Alexandria database).

Unit cell a=2.8852 b=2.8852 c=14.2790 alpha=84.20 beta=84.20 gamma=90.00
Last column: nearest neighbours and their distance in Å.
Element x y z (fractional)
1 Rh 0.4266 0.4266 0.1467  8 Rh 2.66-2.89, 4 Cd 2.91
2 Rh 0.1338 0.1338 0.7324  8 Rh 2.66-2.89, 4 Cd 2.87
3 Rh 0.8662 0.8662 0.2676  8 Rh 2.66-2.89, 4 Cd 2.87
4 Rh 0.5734 0.5734 0.8533  8 Rh 2.66-2.89, 4 Cd 2.91
5 Cd 0.7052 0.7052 0.5896  4 Rh 2.87, 4 Cd 2.89
6 Cd 0.0000 0.0000 0.0000  4 Cd 2.89, 8 Rh 2.91
7 Cd 0.2948 0.2948 0.4104  4 Rh 2.87, 4 Cd 2.89

* formation enthalpy at 0 K: -0.003 eV per atom
* energy relative to the lowest polymorph listed for this composition: 0.0 meV per atom